No. 1
A plane-wave DFT calculation with GGA-PBE was carried out for a geometry-optimized MnTe2Au structure.

Values from the calculation:
E_form (uncorrected), eV per formula unit: 0.17
Total magnetic moment, μB per formula unit: 0.0
ΔE to the lowest computed polymorph, meV/atom: 134

a b c (Å): 3.848 6.706 7.923
angles (deg): 76.05 76.60 85.09
Space group P-1 (No. 2)
Asymmetric unit:
Mn 0.204 0.104 0.446 [2 per cell]
Te 0.155 0.722 0.793 [2 per cell]
Te 0.497 0.808 0.316 [2 per cell]
Au 0.000 0.000 0.000 [1 per cell]
Au 0.000 0.500 0.500 [1 per cell]

***

No. 2
A plane-wave DFT calculation with GGA-PBE was carried out for a geometry-optimized Tm3Ru structure.

Values from the calculation:
Total magnetic moment, μB per formula unit: 0.0
Energy of formation from the pure elements, eV per atom: 0.03

a b c (Å): 3.355 3.539 9.046
angles (deg): 90.00 90.00 90.00
Space group Pmm2 (No. 25)
Asymmetric unit:
Tm 0.000 0.000 0.000 [1 per cell]
Tm 0.000 0.500 0.344 [1 per cell]
Tm 0.500 0.500 0.717 [1 per cell]
Ru 0.500 0.000 0.495 [1 per cell]